Entry 1:
This record from the Alexandria database describes a relaxed structure of Al2CoCl8. The functional is PBEsol.

a b c (Å): 7.913 9.404 9.764
angles (deg): 73.37 66.10 65.12
Fractional positions:
Cl 0.161 0.718 0.987
Cl 0.710 0.449 0.689
Cl 0.839 0.282 0.013
Cl 0.622 0.742 0.945
Cl 0.134 0.218 0.487
Cl 0.848 0.051 0.811
Cl 0.152 0.949 0.189
Cl 0.290 0.551 0.311
Cl 0.691 0.242 0.445
Cl 0.861 0.556 0.283
Cl 0.699 0.944 0.217
Cl 0.378 0.258 0.055
Cl 0.309 0.758 0.555
Cl 0.139 0.444 0.717
Cl 0.866 0.782 0.513
Cl 0.301 0.056 0.783
Al 0.158 0.635 0.529
Al 0.677 0.135 0.029
Al 0.323 0.865 0.971
Al 0.842 0.365 0.471
Co 0.996 0.250 0.750
Co 0.004 0.750 0.250

Properties
Total energy: -0.15095 hartree per atom
Theoretical density: 2.2 g/cm³
Raw formation energy: -1.200 eV per atom


Entry 2:
This record from the Alexandria database describes a relaxed structure of Al2CoCl. The functional is PBEsol.

a b c (Å): 2.746 3.976 6.189
angles (deg): 108.02 102.82 90.00
Fractional positions:
Al 0.683 0.685 0.366
Al 0.317 0.315 0.634
Co 0.000 0.500 0.000
Cl 0.500 0.000 0.000

Properties
Total energy: -0.16033 hartree per atom
Theoretical density: 3.9 g/cm³
Relative energy among the computed polymorphs: 0.000 eV/atom
Raw formation energy: 0.119 eV per atom


Entry 3:
This record from the Alexandria database describes a relaxed structure of Al2CoCl2. The functional is PBEsol.

a b c (Å): 5.121 5.946 5.946
angles (deg): 90.00 90.00 90.00
Fractional positions:
Al 0.500 0.187 0.313
Al 0.500 0.687 0.187
Al 0.500 0.813 0.687
Al 0.500 0.313 0.813
Cl 0.000 0.823 0.677
Cl 0.000 0.177 0.323
Cl 0.000 0.323 0.823
Cl 0.000 0.677 0.177
Co 0.000 0.500 0.500
Co 0.000 0.000 0.000

Properties
Total energy: -0.14561 hartree per atom
Theoretical density: 3.4 g/cm³
Raw formation energy: 0.025 eV per atom


Entry 4:
This record from the Alexandria database describes a relaxed structure of AlCrCl3. The functional is PBEsol.

a b c (Å): 4.773 4.773 4.773
angles (deg): 90.00 90.00 90.00
Fractional positions:
Cl 0.500 0.000 0.000
Cl 0.000 0.500 0.000
Cl 0.000 0.000 0.500
Cr 0.500 0.500 0.500
Al 0.000 0.000 0.000

Properties
Total energy: -0.16038 hartree per atom
Theoretical density: 2.8 g/cm³
Raw formation energy: -0.293 eV per atom